(1)
# NaCrH2S

An optimized crystal structure of NaCrH2S (GGA-PBE, the Alexandria database).

a b c (Å): 3.6414 3.6414 6.5433
angles (deg): 90.00 90.00 90.00
With the nearest neighbours (Å) after each atom.
Space group P4/mmm (No. 123)
Inequivalent atoms, fractional coordinates:
Na  0.0000  0.0000  0.0000 [1 per cell]  4 S 2.57
Cr  0.0000  0.0000  0.5000 [1 per cell]  4 H 1.82
H  0.0000  0.5000  0.5000 [2 per cell]  2 Cr 1.82
S  0.5000  0.5000  0.0000 [1 per cell]  4 Na 2.57

Results
As for the density of states at the Fermi level: 3.159 states/eV/cell. As for the total energy: -4.028 eV per atom.

***

(2)
# NaCr2HSe

An optimized crystal structure of NaCr2HSe (GGA-PBE, the Alexandria database).

a b c (Å): 4.0108 4.0108 5.0776
angles (deg): 90.00 90.00 90.00
With the nearest neighbours (Å) after each atom.
Space group P4/mmm (No. 123)
Inequivalent atoms, fractional coordinates:
Na  0.0000  0.0000  0.0000 [1 per cell]  4 Se 2.84
Cr  0.0000  0.5000  0.5000 [2 per cell]  2 H 2.01
H  0.5000  0.5000  0.5000 [1 per cell]  4 Cr 2.01
Se  0.5000  0.5000  0.0000 [1 per cell]  2 H 2.54, 4 Na 2.84

Results
As for the density of states at the Fermi level: 2.894 states/eV/cell. As for the total energy: -5.069 eV per atom.

***

(3)
# NaSrCr2H

An optimized crystal structure of NaSrCr2H (GGA-PBE, the Alexandria database).

a b c (Å): 6.1910 6.1910 7.1612
angles (deg): 90.00 90.00 90.00
With the nearest neighbours (Å) after each atom.
Space group P4/mmm (No. 123)
Inequivalent atoms, fractional coordinates:
Na  0.0000  0.0000  0.0000 [1 per cell]  2 Sr 3.58
Sr  0.0000  0.0000  0.5000 [1 per cell]  4 Cr 3.10
Cr  0.0000  0.5000  0.5000 [2 per cell]  2 Sr 3.10
H  0.5000  0.5000  0.0000 [1 per cell]  4 Na 4.38, 8 Cr 4.73

Results
As for the density of states at the Fermi level: 4.718 states/eV/cell. As for the total energy: -3.147 eV per atom.

***

(4)
# Na2SrCrH8

An optimized crystal structure of Na2SrCrH8 (GGA-PBE, the Alexandria database).

a b c (Å): 4.9359 4.9359 6.6472
angles (deg): 90.00 90.00 120.00
With the nearest neighbours (Å) after each atom.
Space group P-3m1 (No. 164)
Inequivalent atoms, fractional coordinates:
Na  0.3333  0.6667  0.3622 [2 per cell]  10 H 2.30-2.48
Sr  0.0000  0.0000  0.0000 [1 per cell]  12 H 2.64-2.85
Cr  0.0000  0.0000  0.5000 [1 per cell]  6 H 1.70
H  0.1563  0.3126  0.6581 [6 per cell]  1 Cr 1.70
H  0.3333  0.6667  0.0155 [2 per cell]  1 Na 2.30

Results
As for the density of states at the Fermi level: 9.891 states/eV/cell. As for the total energy: -3.416 eV per atom.

***

(5)
# NaCr2TcH

An optimized crystal structure of NaCr2TcH (GGA-PBE, the Alexandria database).

a b c (Å): 4.3985 4.3985 4.6325
angles (deg): 90.00 90.00 90.00
With the nearest neighbours (Å) after each atom.
Space group P4/mmm (No. 123)
Inequivalent atoms, fractional coordinates:
Na  0.0000  0.0000  0.0000 [1 per cell]  4 Cr 2.20, 2 Tc 2.32
Cr  0.0000  0.5000  0.0000 [2 per cell]  2 Na 2.20
Tc  0.0000  0.0000  0.5000 [1 per cell]  2 Na 2.32
H  0.5000  0.5000  0.5000 [1 per cell]  4 Tc 3.11, 8 Cr 3.19

Results
As for the density of states at the Fermi level: 7.229 states/eV/cell. As for the total energy: -3.523 eV per atom.

***

(6)
# NaZn2CrH8

An optimized crystal structure of NaZn2CrH8 (GGA-PBE, the Alexandria database).

a b c (Å): 8.6403 3.1924 7.7771
angles (deg): 90.00 94.61 90.00
With the nearest neighbours (Å) after each atom.
Space group C2/m (No. 12)
Inequivalent atoms, fractional coordinates:
Na  0.0000  0.0000  0.0000 [2 per cell]  4 H 2.22
Zn  0.1922  0.5000  0.3139 [4 per cell]  4 H 1.64-1.78
Cr  0.0000  0.0000  0.5000 [2 per cell]  8 H 1.69-1.81
H  0.0961  0.5000  0.5398 [4 per cell]  1 H 1.72, 2 Cr 1.81
H  0.1029  0.0000  0.3236 [4 per cell]  1 Cr 1.69, 2 Zn 1.78, 1 H 1.84
H  0.1112  0.0000  0.6894 [4 per cell]  1 Cr 1.69, 1 Zn 1.70, 1 H 1.84
H  0.1601  0.5000  0.1028 [4 per cell]  1 Zn 1.64

Results
As for the density of states at the Fermi level: 2.488 states/eV/cell. As for the total energy: -3.279 eV per atom.

***

(7)
# Na2ZnCrH6

An optimized crystal structure of Na2ZnCrH6 (GGA-PBE, the Alexandria database).

a b c (Å): 7.3375 7.3375 7.3375
angles (deg): 90.00 90.00 90.00
With the nearest neighbours (Å) after each atom.
Space group Fm-3m (No. 225)
Inequivalent atoms, fractional coordinates:
Na  0.2500  0.2500  0.2500 [8 per cell]  12 H 2.59
Zn  0.0000  0.0000  0.0000 [4 per cell]  6 H 1.86
Cr  0.0000  0.0000  0.5000 [4 per cell]  6 H 1.80
H  0.0000  0.0000  0.2542 [24 per cell]  1 Cr 1.80, 1 Zn 1.86

Results
As for the density of states at the Fermi level: 5.717 states/eV/cell. As for the total energy: -3.394 eV per atom.

***

(8)
# NaZrCrH

An optimized crystal structure of NaZrCrH (GGA-PBE, the Alexandria database).

a b c (Å): 4.9710 3.3489 8.0143
angles (deg): 90.00 105.45 90.00
With the nearest neighbours (Å) after each atom.
Space group Cm (No. 8)
Inequivalent atoms, fractional coordinates:
Na  0.0000  0.0000  0.0000 [2 per cell]  1 H 2.55
Zr  0.3231  0.0000  0.5990 [2 per cell]  1 H 2.40, 2 Cr 2.57
Cr  0.2111  0.5000  0.3462 [2 per cell]  3 H 1.81-1.85
H  0.3353  0.0000  0.3018 [2 per cell]  3 Cr 1.81-1.85

Results
As for the density of states at the Fermi level: 5.691 states/eV/cell. The relative energy among the computed polymorphs is 0.0382 eV per atom. As for the total energy: -5.394 eV per atom.